(1)
Computed, not measured: a relaxed TlCrInCl6 crystal at the PBE level of DFT.

a b c (Å): 6.813 6.813 13.540
angles (deg): 90.00 90.00 120.00
Last column: magnetic moment on the atom in μB.
Positions (direct):
Tl (0.000, 0.000, 0.000)  0.00
Tl (0.000, 0.000, 0.500)  0.00
Cr (0.333, 0.667, 0.250)  2.62
Cr (0.667, 0.333, 0.750)  2.62
In (0.667, 0.333, 0.250)  -0.31
In (0.333, 0.667, 0.750)  -0.31
Cl (0.608, 0.653, 0.149)  -0.06
Cl (0.045, 0.391, 0.149)  -0.06
Cl (0.392, 0.045, 0.649)  -0.06
Cl (0.955, 0.609, 0.851)  -0.06
Cl (0.347, 0.391, 0.351)  -0.06
Cl (0.045, 0.653, 0.351)  -0.06
Cl (0.653, 0.045, 0.851)  -0.06
Cl (0.608, 0.955, 0.351)  -0.06
Cl (0.955, 0.347, 0.649)  -0.06
Cl (0.347, 0.955, 0.149)  -0.06
Cl (0.653, 0.609, 0.649)  -0.06
Cl (0.392, 0.347, 0.851)  -0.06

(2)
Computed, not measured: a relaxed Ca3Te12As5 crystal at the PBE level of DFT.

a b c (Å): 15.219 15.219 15.219
angles (deg): 109.47 109.47 109.47
Positions (direct):
Ca (0.750, 0.375, 0.125)
Ca (0.875, 0.750, 0.125)
Ca (0.375, 0.750, 0.625)
Ca (0.250, 0.125, 0.375)
Ca (0.875, 0.125, 0.250)
Ca (0.375, 0.625, 0.250)
Ca (0.625, 0.375, 0.750)
Ca (0.125, 0.875, 0.750)
Ca (0.750, 0.875, 0.625)
Ca (0.625, 0.250, 0.375)
Ca (0.125, 0.250, 0.875)
Ca (0.250, 0.625, 0.875)
As (0.125, 0.375, 0.250)
As (0.000, 0.500, 0.000)
As (0.000, 0.000, 0.000)
As (0.375, 0.250, 0.125)
As (0.500, 0.000, 0.500)
As (0.500, 0.500, 0.000)
As (0.125, 0.750, 0.375)
As (0.750, 0.125, 0.875)
As (0.750, 0.625, 0.375)
As (0.375, 0.125, 0.750)
As (0.625, 0.875, 0.250)
As (0.500, 0.500, 0.500)
As (0.500, 0.000, 0.000)
As (0.000, 0.000, 0.500)
As (0.250, 0.375, 0.625)
As (0.250, 0.875, 0.125)
As (0.000, 0.500, 0.500)
As (0.875, 0.250, 0.625)
As (0.625, 0.750, 0.875)
As (0.875, 0.625, 0.750)
Te (0.711, 0.129, 0.040)
Te (0.328, 0.540, 0.411)
Te (0.960, 0.371, 0.289)
Te (0.540, 0.211, 0.129)
Te (0.583, 0.711, 0.672)
Te (0.960, 0.589, 0.172)
Te (0.328, 0.789, 0.417)
Te (0.089, 0.917, 0.129)
Te (0.589, 0.960, 0.672)
Te (0.711, 0.583, 0.172)
Te (0.789, 0.460, 0.371)
Te (0.828, 0.911, 0.040)
Te (0.129, 0.711, 0.540)
Te (0.371, 0.411, 0.083)
Te (0.083, 0.911, 0.371)
Te (0.417, 0.129, 0.589)
Te (0.083, 0.172, 0.211)
Te (0.460, 0.672, 0.089)
Te (0.828, 0.917, 0.289)
Te (0.129, 0.417, 0.089)
Te (0.371, 0.960, 0.789)
Te (0.589, 0.629, 0.417)
Te (0.911, 0.828, 0.540)
Te (0.789, 0.328, 0.917)
Te (0.411, 0.371, 0.583)
Te (0.089, 0.172, 0.460)
Te (0.211, 0.672, 0.083)
Te (0.172, 0.083, 0.711)
Te (0.629, 0.040, 0.211)
Te (0.871, 0.583, 0.911)
Te (0.540, 0.328, 0.911)
Te (0.583, 0.871, 0.411)
Te (0.917, 0.828, 0.789)
Te (0.917, 0.089, 0.629)
Te (0.871, 0.289, 0.460)
Te (0.172, 0.089, 0.960)
Te (0.629, 0.589, 0.917)
Te (0.411, 0.040, 0.328)
Te (0.289, 0.417, 0.828)
Te (0.211, 0.540, 0.629)
Te (0.911, 0.083, 0.871)
Te (0.672, 0.211, 0.583)
Te (0.460, 0.789, 0.871)
Te (0.040, 0.411, 0.828)
Te (0.417, 0.289, 0.328)
Te (0.040, 0.629, 0.711)
Te (0.672, 0.460, 0.589)
Te (0.289, 0.871, 0.960)

no.,size of the total moment (μB/f.u.),formation energy (no corrections) (eV per atom)
1,2.0,-1.02
2,0.0,-0.35